1.
Below is an optimized crystal structure of ZnAs2Br, with properties calculated at the GGA-PBE level.

The uncorrected energy is -12.93 eV per formula unit. The total moment comes out at 0.000 μB/cell. As for the formation energy without anion corrections: -0.171 eV per atom. Its density of states at the Fermi level is 3.0 states/eV/f.u. The calculation puts the energy above the most stable polymorph in this dataset at 0.0 meV per atom.

The space group is R3m (No. 160, hexagonal axes) and the conventional cell measures 3.7032, 3.7032 and 26.2723 Å, with angles of 90.00, 90.00 and 120.00 degrees. The asymmetric unit holds Zn at (0.0000, 0.0000, 0.0000), As at (0.0000, 0.0000, 0.4580), As at (0.0000, 0.0000, 0.7380) and Br at (0.0000, 0.0000, 0.2760).

2.
Below is an optimized crystal structure of KTa2Pd, with properties calculated at the GGA-PBE level.

The value obtained for the formation energy is 1.358 eV/atom. The uncorrected energy is -24.56 eV per formula unit. The total moment comes out at 0.000 μB/cell. Its density of states at the Fermi level is 5.1 states/eV/f.u. The calculation puts the energy above the most stable polymorph in this dataset at 63.6 meV per atom.

The space group is I-42d (No. 122) and the conventional cell measures 4.498, 4.498 and 20.069 Å, with angles of 90.00, 90.00 and 90.00 degrees. The asymmetric unit holds K at (0.000, 0.000, 0.000), Ta at (0.120, 0.250, 0.625) and Pd at (0.000, 0.000, 0.500).

3.
Below is an optimized crystal structure of VAuS2N, with properties calculated at the GGA-PBE level.

The uncorrected energy is -22.06 eV per formula unit. The total moment comes out at 0.269 μB/cell. As for the formation energy without anion corrections: 1.384 eV per atom. Its density of states at the Fermi level is 7.2 states/eV/f.u. The calculation puts the energy above the most stable polymorph in this dataset at 1110.0 meV per atom.

The space group is P4/mmm (No. 123) and the conventional cell measures 4.989, 4.989 and 3.736 Å, with angles of 90.00, 90.00 and 90.00 degrees. The asymmetric unit holds V at (0.000, 0.000, 0.000), Au at (0.500, 0.500, 0.500), S at (0.000, 0.500, 0.500) and N at (0.500, 0.500, 0.000).

4.
Below is an optimized crystal structure of TbCoSnRu, with properties calculated at the GGA-PBE level.

The value obtained for the formation energy is -0.292 eV/atom. The uncorrected energy is -26.18 eV per formula unit. The total moment comes out at 0.000 μB/cell. Its density of states at the Fermi level is 1.0 states/eV/f.u.

The space group is F-43m (No. 216) and the conventional cell measures 6.532, 6.532 and 6.532 Å, with angles of 90.00, 90.00 and 90.00 degrees. The asymmetric unit holds Tb at (0.000, 0.000, 0.000), Co at (0.250, 0.250, 0.750), Sn at (0.000, 0.000, 0.500) and Ru at (0.250, 0.250, 0.250).

5.
Below is an optimized crystal structure of TiCoPAu2, with properties calculated at the GGA-PBE level.

The value obtained for the formation energy is 0.355 eV/atom. The uncorrected energy is -25.19 eV per formula unit. The total moment comes out at 0.017 μB/cell. Its density of states at the Fermi level is 8.0 states/eV/f.u. The calculation puts the energy above the most stable polymorph in this dataset at 0.0 meV per atom.

The space group is P4/mmm (No. 123) and the conventional cell measures 4.696, 4.696 and 4.093 Å, with angles of 90.00, 90.00 and 90.00 degrees. The asymmetric unit holds Ti at (0.000, 0.000, 0.000), Co at (0.500, 0.500, 0.000), P at (0.500, 0.500, 0.500) and Au at (0.000, 0.500, 0.500).

6.
Below is an optimized crystal structure of HfCrTe6, with properties calculated at the GGA-PBE level.

The uncorrected energy is -39.54 eV per formula unit. The total moment comes out at 2.476 μB/cell. As for the formation energy without anion corrections: -0.139 eV per atom. Its density of states at the Fermi level is 6.4 states/eV/f.u.

The space group is P-1 (No. 2) and the conventional cell measures 6.822, 6.823 and 6.842 Å, with angles of 61.82, 61.91 and 61.95 degrees. The asymmetric unit holds Hf at (0.000, 0.000, 0.000), Cr at (0.500, 0.500, 0.500), Te at (0.073, 0.450, 0.712), Te at (0.288, 0.926, 0.552) and Te at (0.449, 0.714, 0.074).